LiTa2O6: optimized geometry, PBE-GGA.

a = 4.8354 Å, b = 4.8354 Å, c = 9.3513 Å
α = 90.00°, β = 90.00°, γ = 90.00°
Fractional positions:
1 Li 0.0000 0.0000 0.0000
2 Li 0.5000 0.5000 0.5000
3 Ta 0.0000 0.0000 0.3359
4 Ta 0.0000 0.0000 0.6641
5 Ta 0.5000 0.5000 0.1641
6 Ta 0.5000 0.5000 0.8359
7 O 0.1862 0.1862 0.5000
8 O 0.2109 0.2109 0.1870
9 O 0.2109 0.2109 0.8130
10 O 0.2891 0.7109 0.3130
11 O 0.2891 0.7109 0.6870
12 O 0.3138 0.6862 0.0000
13 O 0.6862 0.3138 0.0000
14 O 0.7109 0.2891 0.3130
15 O 0.7109 0.2891 0.6870
16 O 0.7891 0.7891 0.1870
17 O 0.7891 0.7891 0.8130
18 O 0.8138 0.8138 0.5000

## Properties
Its formation energy from raw total energies is -2481.0 meV/atom. As for the raw total energy: -8.633 eV/atom. The polymorph energy (0 for the lowest one) is 0.04 eV/f.u.